Version one
VASP calculation (PBE with a Hubbard U) on a relaxed structure of FeWNF2.

Geometry as POSCAR:
```
FeWNF2
1.0
-0.715 1.381 3.926
0.247 -3.962 1.439
3.968 0.452 0.564
N Fe W F
1 1 1 2
Cartesian
1.984 0.226 0.282
1.750 -1.065 2.964
0.000 0.000 0.000
0.123 -1.981 0.719
-0.357 0.691 1.963
```

=====

Version two
VASP calculation (PBE with a Hubbard U) on a relaxed structure of FeWNF2.

Geometry as POSCAR:
```
FeWNF2
1.0
-0.879 0.358 3.593
-3.459 -1.146 -0.732
1.242 -4.213 0.724
N Fe W F
1 1 1 2
Cartesian
0.621 -2.107 0.362
0.000 0.000 0.000
-1.548 -2.500 1.793
-1.729 -0.573 -0.366
-0.439 0.179 1.796
```

=====

Going by the computed energies, the most stable comes first: version one, version two.

=====

Version one
VASP calculation (PBE with a Hubbard U) on a relaxed structure of YFeNF2.

Geometry as POSCAR:
```
YFeNF2
1.0
4.263 0.000 0.000
0.000 4.263 0.000
0.000 0.000 4.719
Y N Fe F
1 1 1 2
Cartesian
0.000 0.000 0.000
0.000 0.000 2.360
2.131 2.131 2.360
0.000 2.131 0.000
2.131 0.000 0.000
```

=====

Version two
VASP calculation (PBE with a Hubbard U) on a relaxed structure of YFeNF2.

Geometry as POSCAR:
```
YFeNF2
1.0
3.916 0.000 0.000
0.000 3.916 0.000
0.000 0.000 4.295
Y N Fe F
1 1 1 2
Cartesian
1.958 1.958 2.148
0.000 0.000 2.148
0.000 0.000 0.000
0.000 1.958 0.000
1.958 0.000 0.000
```

=====

Going by the computed energies, the most stable comes first: version two, version one.

=====

Version one
VASP calculation (PBE with a Hubbard U) on a relaxed structure of YFeN2F.

Geometry as POSCAR:
```
YFeN2F
1.0
-4.323 -0.436 -1.069
-1.069 -0.059 4.344
-0.414 4.219 -0.045
Y N Fe F
1 2 1 1
Cartesian
0.000 0.000 0.000
-0.534 -0.030 2.172
-2.161 -0.218 -0.535
-2.903 1.862 1.615
-0.207 2.110 -0.022
```

=====

Version two
VASP calculation (PBE with a Hubbard U) on a relaxed structure of YFeN2F.

Geometry as POSCAR:
```
YFeN2F
1.0
3.910 0.000 0.000
0.000 3.910 0.000
0.000 0.000 3.889
Y N Fe F
1 2 1 1
Cartesian
1.955 1.955 1.944
0.000 1.955 0.000
1.955 0.000 0.000
0.000 0.000 0.000
0.000 0.000 1.944
```

=====

Going by the computed energies, the most stable comes first: version two, version one.

=====

Version one
VASP calculation (PBE with a Hubbard U) on a relaxed structure of ZnFeNF2.

Geometry as POSCAR:
```
ZnFeNF2
1.0
3.914 0.000 0.000
0.000 3.914 0.000
0.000 0.000 4.129
Zn N Fe F
1 1 1 2
Cartesian
0.000 0.000 0.000
0.000 0.000 2.065
1.957 1.957 2.065
0.000 1.957 0.000
1.957 0.000 0.000
```

=====

Version two
VASP calculation (PBE with a Hubbard U) on a relaxed structure of ZnFeNF2.

Geometry as POSCAR:
```
ZnFeNF2
1.0
3.870 0.000 0.000
0.000 3.870 0.000
0.000 0.000 4.169
Zn N Fe F
1 1 1 2
Cartesian
1.935 1.935 2.084
0.000 0.000 2.084
0.000 0.000 0.000
0.000 1.935 0.000
1.935 0.000 0.000
```

=====

Going by the computed energies, the most stable comes first: version two, version one.

=====

Version one
VASP calculation (PBE with a Hubbard U) on a relaxed structure of ZrFeNF2.

Geometry as POSCAR:
```
ZrFeNF2
1.0
-3.477 0.990 -1.319
-1.308 -3.530 0.798
-1.120 1.304 3.930
N Fe Zr F
1 1 1 2
Cartesian
-0.560 0.652 1.965
0.000 0.000 0.000
-2.953 -0.618 1.705
-0.654 -1.765 0.399
-1.738 0.495 -0.660
```

=====

Version two
VASP calculation (PBE with a Hubbard U) on a relaxed structure of ZrFeNF2.

Geometry as POSCAR:
```
ZrFeNF2
1.0
4.205 0.000 0.000
0.000 4.205 0.000
0.000 0.000 4.254
N Fe Zr F
1 1 1 2
Cartesian
0.000 0.000 2.127
2.103 2.103 2.127
0.000 0.000 0.000
0.000 2.103 0.000
2.103 0.000 0.000
```

=====

Going by the computed energies, the most stable comes first: version two, version one.

=====

Version one
VASP calculation (PBE with a Hubbard U) on a relaxed structure of NaFe3F.

Geometry as POSCAR:
```
NaFe3F
1.0
-0.295 -3.802 -2.989
4.665 0.564 -1.178
1.272 -2.950 3.627
Na Fe F
1 3 1
Cartesian
0.000 0.000 0.000
2.333 0.282 -0.589
0.636 -1.475 1.813
-0.148 -1.901 -1.494
2.821 -3.094 -0.270
```

=====

Version two
VASP calculation (PBE with a Hubbard U) on a relaxed structure of NaFe3F.

Geometry as POSCAR:
```
NaFe3F
1.0
-2.158 1.787 3.504
2.954 -1.902 2.789
2.597 3.649 -0.262
Na Fe F
1 3 1
Cartesian
1.697 1.767 3.016
1.477 -0.951 1.395
1.298 1.825 -0.131
-1.079 0.893 1.752
0.000 0.000 0.000
```

=====

Going by the computed energies, the most stable comes first: version two, version one.

=====

Version one
VASP calculation (PBE with a Hubbard U) on a relaxed structure of Na2FeF4.

Geometry as POSCAR:
```
Na2FeF4
1.0
-5.376 0.967 1.411
0.295 -4.285 4.059
3.398 7.579 7.755
Na Fe F
8 4 16
Cartesian
-2.210 3.418 11.736
-1.986 -0.821 4.217
2.330 3.125 6.795
-1.500 2.800 3.702
0.527 0.843 1.489
0.303 5.082 9.008
-4.013 1.136 6.430
-0.183 1.461 9.523
1.699 3.790 3.878
-0.842 2.130 6.613
0.147 -2.143 2.029
-2.688 0.483 0.705
-2.285 1.917 8.192
0.132 0.312 7.225
2.270 6.583 8.485
-3.484 -0.291 2.548
0.602 2.344 5.033
-1.816 3.949 6.001
-3.954 -2.322 4.740
1.801 4.551 10.677
1.681 4.982 5.508
-2.023 1.154 5.297
-1.787 4.842 9.915
-1.238 -2.457 5.730
-3.364 -0.721 7.717
0.340 3.107 7.928
0.104 -0.582 3.310
-0.446 6.717 7.495
```

=====

Version two
VASP calculation (PBE with a Hubbard U) on a relaxed structure of Na2FeF4.

Geometry as POSCAR:
```
Na2FeF4
1.0
6.288 0.000 -0.531
0.000 5.541 0.000
-2.880 0.000 5.812
Na Fe F
4 2 8
Cartesian
1.005 4.155 5.238
2.403 1.385 0.042
-1.051 1.385 2.322
4.458 4.155 2.959
1.166 4.155 1.764
2.241 1.385 3.516
2.819 2.763 1.925
-1.211 4.155 5.617
4.618 1.385 -0.336
2.819 0.007 1.925
-2.060 1.385 4.362
0.588 5.533 3.355
0.589 2.778 3.355
5.468 4.155 0.919
```

=====

Going by the computed energies, the most stable comes first: version one, version two.

=====

Version one
VASP calculation (PBE with a Hubbard U) on a relaxed structure of NaFe2F6.

Geometry as POSCAR:
```
NaFe2F6
1.0
4.851 0.000 0.000
0.000 4.688 -2.706
0.000 0.000 5.413
Na Fe F
1 2 6
Cartesian
0.000 4.688 2.707
2.425 3.125 0.000
2.425 1.563 2.706
3.473 2.998 1.731
1.378 2.998 3.682
1.378 4.688 0.756
3.473 1.689 -0.975
1.378 1.689 0.975
3.473 0.000 1.951
```

=====

Version two
VASP calculation (PBE with a Hubbard U) on a relaxed structure of NaFe2F6.

Geometry as POSCAR:
```
NaFe2F6
1.0
-1.438 -1.495 -5.101
0.722 -4.580 1.138
-8.598 -0.702 2.629
Na Fe F
2 4 12
Cartesian
-0.358 -3.037 -1.981
-4.299 -0.351 1.315
-6.679 -2.864 2.722
-5.854 -5.805 0.379
-3.460 -0.971 -1.712
-1.197 -2.417 1.046
-3.328 -4.893 -2.457
-6.516 -5.153 -1.482
-0.730 -4.504 -3.589
-5.073 -2.235 -1.717
-7.809 -2.767 -1.075
-2.399 -2.326 -2.730
-5.986 -1.883 1.124
-2.798 -1.623 0.149
-8.584 -2.272 2.256
-4.242 -4.541 0.384
-1.505 -4.009 -0.258
-6.916 -4.450 1.397
```

=====

Going by the computed energies, the most stable comes first: version one, version two.